(1)
Computed, not measured: crystalline GaNiOs3 at its relaxed geometry at the PBE-GGA level of DFT.

Values from the calculation:
relative energy among the computed polymorphs	0.0	meV per atom
space-group type	Pm-3m, No. 221

Lattice parameters (Å, degrees): 4.4390 4.4390 4.4390 90.00 90.00 90.00
Last column: magnetic moment on the atom in μB.
Fractional coordinates of all 5 atoms:
Ni 0.0000 0.0000 0.0000  0.75
Os 0.0000 0.0000 0.5000  1.27
Os 0.0000 0.5000 0.0000  0.82
Ga 0.5000 0.5000 0.5000  0.01
Os 0.5000 0.0000 0.0000  0.54



(2)
Computed, not measured: crystalline GaNi2Os at its relaxed geometry at the PBE-GGA level of DFT.

Values from the calculation:
E	-48.18	eV per cell
space-group type	I-42d, No. 122

Lattice parameters (Å, degrees): 3.5845 3.5845 8.9873 78.50 78.50 90.00
Last column: magnetic moment on the atom in μB.
Fractional coordinates of all 8 atoms:
Os 0.7500 0.2500 0.5000  0.63
Ga 0.2500 0.7500 0.5000  -0.01
Ni 0.3750 0.3727 0.7500  0.29
Ni 0.1227 0.6250 0.2500  0.29
Ni 0.8750 0.8773 0.7500  0.28
Os 0.0000 0.0000 0.0000  0.62
Ga 0.5000 0.5000 0.0000  -0.01
Ni 0.6273 0.1250 0.2500  0.29



(3)
Computed, not measured: crystalline Ga2Ni2Os at its relaxed geometry at the PBE-GGA level of DFT.

Values from the calculation:
relative energy among the computed polymorphs	49.5	meV per atom
space-group type	P4/mbm, No. 127

Lattice parameters (Å, degrees): 7.0148 7.0148 2.6303 90.00 90.00 90.00
Fractional coordinates of all 10 atoms:
Os 0.0000 0.0000 0.0000
Ga 0.6720 0.8280 0.5000
Ga 0.1720 0.6720 0.5000
Ni 0.6254 0.1254 0.0000
Ni 0.8746 0.6254 0.0000
Ni 0.3746 0.8746 0.0000
Ga 0.3280 0.1720 0.5000
Ga 0.8280 0.3280 0.5000
Os 0.5000 0.5000 0.0000
Ni 0.1254 0.3746 0.0000



(4)
Computed, not measured: crystalline Ga2Ni2Os at its relaxed geometry at the PBE-GGA level of DFT.

Values from the calculation:
relative energy among the computed polymorphs	0.0	meV per atom
space-group type	P4/mbm, No. 127

Lattice parameters (Å, degrees): 6.9279 6.9279 2.6865 90.00 90.00 90.00
Fractional coordinates of all 10 atoms:
Os 0.0000 0.0000 0.0000
Os 0.5000 0.5000 0.0000
Ga 0.8568 0.6432 0.0000
Ni 0.3454 0.1546 0.5000
Ni 0.1546 0.6546 0.5000
Ni 0.8454 0.3454 0.5000
Ga 0.3568 0.8568 0.0000
Ni 0.6546 0.8454 0.5000
Ga 0.6432 0.1432 0.0000
Ga 0.1432 0.3568 0.0000



(5)
Computed, not measured: crystalline GaNiOs3 at its relaxed geometry at the PBE-GGA level of DFT.

Values from the calculation:
relative energy among the computed polymorphs	327.4	meV per atom
space-group type	Pm-3m, No. 221

Lattice parameters (Å, degrees): 4.4751 4.4751 4.4751 90.00 90.00 90.00
Last column: magnetic moment on the atom in μB.
Fractional coordinates of all 5 atoms:
Os 0.0000 0.5000 0.0000  0.46
Os 0.5000 0.0000 0.0000  0.50
Os 0.0000 0.0000 0.5000  0.35
Ga 0.0000 0.0000 0.0000  0.00
Ni 0.5000 0.5000 0.5000  0.89



(6)
Computed, not measured: crystalline GaNi2Os2 at its relaxed geometry at the PBE-GGA level of DFT.

Values from the calculation:
relative energy among the computed polymorphs	0.0	meV per atom
space-group type	P4/mbm, No. 127

Lattice parameters (Å, degrees): 6.9684 6.9684 2.8513 90.00 90.00 90.00
Fractional coordinates of all 10 atoms:
Ga 0.0000 0.0000 0.0000
Os 0.6304 0.8696 0.5000
Os 0.8696 0.3696 0.5000
Ni 0.8349 0.6651 0.0000
Ga 0.5000 0.5000 0.0000
Ni 0.6651 0.1651 0.0000
Os 0.1304 0.6304 0.5000
Os 0.3696 0.1304 0.5000
Ni 0.3349 0.8349 0.0000
Ni 0.1651 0.3349 0.0000



(7)
Computed, not measured: crystalline PaGaNiOs at its relaxed geometry at the PBE-GGA level of DFT.

Values from the calculation:
E	-30.46	eV per cell
space-group type	F-43m, No. 216

Lattice parameters (Å, degrees): 4.6015 4.6015 4.6015 60.00 60.00 60.00
Fractional coordinates of all 4 atoms:
Ni 0.2500 0.2500 0.2500
Ga 0.0000 0.0000 0.0000
Pa 0.5000 0.5000 0.5000
Os 0.7500 0.7500 0.7500



(8)
Computed, not measured: crystalline PuGa4Ni2Os at its relaxed geometry at the PBE-GGA level of DFT.

Values from the calculation:
E	-51.08	eV per cell
space-group type	R-3m, No. 166

Lattice parameters (Å, degrees): 4.1305 4.1305 9.1890 77.01 77.01 60.00
Last column: magnetic moment on the atom in μB.
Fractional coordinates of all 8 atoms:
Ni 0.7688 0.7688 0.6937  -0.01
Os 0.5000 0.5000 0.5000  0.03
Ga 0.4023 0.4023 0.7931  0.00
Ga 0.1300 0.1300 0.6099  0.00
Pu 0.0000 0.0000 0.0000  5.25
Ni 0.2312 0.2312 0.3063  -0.01
Ga 0.8700 0.8700 0.3901  0.00
Ga 0.5977 0.5977 0.2069  0.00



Number 1: calculated volume 17.494 A^3/atom. Number 2: calculated volume 13.849 A^3/atom. Number 3: calculated volume 12.943 A^3/atom. Number 4: calculated volume 12.894 A^3/atom. Number 5: calculated volume 17.924 A^3/atom. Number 6: calculated volume 13.846 A^3/atom. Number 7: calculated volume 17.223 A^3/atom. Number 8: calculated volume 16.390 A^3/atom.